[1]
VASP calculation (PBE) on InSO2 after structural relaxation.

Geometry as extended XYZ:
```
4
Lattice="1.5707 0.9068 6.7912 -1.5707 0.9068 6.7912 0.0000 -1.8137 6.7912" Properties=species:S:1:pos:R:3 pbc="T T T"
In 0.0000 0.0000 0.0000
S 0.0000 0.0000 10.1868
O 0.0000 0.0000 2.4118
O 0.0000 0.0000 17.9618
```

Summary:
V ... 14.51 Å³ per atom
E ... -4.18 eV/atom
Raw formation energy ... 0.014 eV/atom
Polymorph energy (0 for the lowest one) ... 749.2 meV per atom
SG ... R-3m (166)
Crystal system ... trigonal

---

[2]
VASP calculation (PBE) on InSO after structural relaxation.

Geometry as extended XYZ:
```
6
Lattice="3.8490 0.0000 0.0000 0.1415 5.6660 0.0000 1.9036 2.5201 5.5285" Properties=species:S:1:pos:R:3 pbc="T T T"
In 0.0000 0.0000 0.0000
In 1.9521 2.4990 1.6624
S 4.3823 3.4391 3.5612
S 3.8022 3.1625 0.0924
O 1.9545 6.1337 1.0324
O 3.2912 2.1831 3.4912
```

Summary:
V ... 20.09 Å³ per atom
E ... -4.69 eV/atom
Raw formation energy ... -0.752 eV/atom
SG ... P1 (1)
Crystal system ... triclinic

---

[3]
VASP calculation (PBE) on InSO4 after structural relaxation.

Geometry as extended XYZ:
```
6
Lattice="-3.0340 3.0340 2.9048 3.0340 -3.0340 2.9048 3.0340 3.0340 -2.9048" Properties=species:S:1:pos:R:3 pbc="T T T"
In 0.0000 0.0000 0.0000
S 3.0340 0.0000 1.4524
O 3.9744 0.8104 0.6102
O 0.8104 2.0937 -0.6102
O 2.2236 0.9404 2.2946
O -0.9404 2.2236 3.5150
```

Summary:
V ... 17.83 Å³ per atom
E ... -5.62 eV/atom
Raw formation energy ... -1.173 eV/atom
SG ... I-4 (82)
Crystal system ... tetragonal

---

[4]
VASP calculation (PBE) on InSO after structural relaxation.

Geometry as extended XYZ:
```
6
Lattice="3.6916 0.0000 0.0000 0.0468 4.5738 0.0000 1.3538 1.6723 6.5287" Properties=species:S:1:pos:R:3 pbc="T T T"
In 0.0000 0.0000 0.0000
In 1.9491 4.3114 3.1968
S 2.1573 3.9459 5.7100
S 3.7952 1.5718 3.8794
O 1.9591 4.6061 1.1223
O 3.8129 2.9520 2.9575
```

Summary:
V ... 18.37 Å³ per atom
E ... -4.73 eV/atom
Raw formation energy ... -0.791 eV/atom
SG ... P1 (1)
Crystal system ... triclinic